The following is a DFT calculation (PBE) of an optimized crystal structure of LaCdGePt2.

```
5
Lattice="-0.150 -3.276 -3.186 4.364 1.511 -0.299 0.398 -3.765 4.173" Properties=species:S:1:pos:R:3 pbc="T T T"
La 2.732 -1.455 1.182
Pt 1.068 -4.017 0.821
Pt 3.323 -5.837 0.855
Cd 0.243 -2.299 -1.216
Ge 1.185 -3.212 3.246
```

Output
Energy relative to the elements   -3.4 eV per formula unit
Energy above the lowest structure with this stoichiometry   99 meV per atom
Symmetry   No. 1

=====

The following is a DFT calculation (PBE) of an optimized crystal structure of Y2TlSi2Rh5.

```
20
Lattice="-1.070 1.846 2.823 3.187 -7.209 5.922 8.840 4.333 0.518" Properties=species:S:1:pos:R:3 pbc="T T T"
Si 5.879 1.818 1.040
Si 6.148 -4.694 5.400
Si 9.748 -0.671 4.135
Si 2.279 -2.205 2.306
Rh 6.584 3.799 2.230
Rh 10.173 -0.671 6.513
Rh 7.645 -0.066 5.160
Rh 4.372 -4.829 7.034
Rh 0.784 -0.359 2.750
Rh 5.396 1.373 3.366
Rh 1.058 -2.681 4.373
Rh 3.885 3.090 1.671
Rh 5.561 -2.403 5.898
Rh 3.311 -0.964 4.104
Y 3.708 -4.110 4.094
Y 8.319 1.234 2.347
Y 3.426 0.137 1.209
Y 8.601 -3.013 5.231
Tl 0.000 0.000 0.000
Tl 6.013 -1.438 3.220
```

Output
Electronic total energy   -0.5260 Ry per atom
Symmetry   No. 127

=====

The following is a DFT calculation (PBE) of an optimized crystal structure of KCa2Cr.

```
4
Lattice="-2.518 -3.000 -4.164 -1.574 -3.955 3.816 -3.879 2.246 0.728" Properties=species:S:1:pos:R:3 pbc="T T T"
K -2.726 -0.854 2.272
Cr -3.199 -0.377 -1.718
Ca 0.000 0.000 0.000
Ca -2.046 -3.477 -0.174
```

Output
Energy relative to the elements   2.5 eV per formula unit
Energy above the lowest structure with this stoichiometry   196 meV per atom
Symmetry   No. 65

=====

The following is a DFT calculation (PBE) of an optimized crystal structure of Mg4Pd3Rh.

```
8
Lattice="4.284 0.000 1.264 1.955 3.811 1.264 0.044 0.027 7.740" Properties=species:S:1:pos:R:3 pbc="T T T"
Mg 2.370 1.448 7.747
Mg 5.484 3.350 5.087
Mg 3.913 2.390 2.521
Mg 0.799 0.488 5.182
Rh 0.000 0.000 0.000
Pd 1.567 0.957 2.579
Pd 4.715 2.881 7.690
Pd 3.141 1.919 5.134
```

Output
Energy relative to the elements   -5.6 eV per formula unit
Symmetry   No. 166

=====

The following is a DFT calculation (PBE) of an optimized crystal structure of CaY5As6.

```
12
Lattice="-7.081 -1.069 -0.519 -1.424 -3.776 -5.933 -0.151 -7.176 0.264" Properties=species:S:1:pos:R:3 pbc="T T T"
Ca 0.000 0.000 0.000
As -2.662 -4.879 -3.465
As -5.994 -7.143 -2.723
As -6.352 -3.614 -4.811
As -5.463 -3.547 -0.799
As -3.193 -8.474 -5.388
As -2.153 -1.231 -1.641
Y -3.877 -5.962 -1.063
Y -0.524 -3.656 -1.886
Y -4.779 -6.059 -5.124
Y -1.050 -7.296 -3.783
Y -4.253 -2.423 -3.226
```

Output
Energy relative to the elements   -17.4 eV per formula unit
Symmetry   No. 12

=====

The following is a DFT calculation (PBE) of an optimized crystal structure of Dy2ThAs3.

```
6
Lattice="4.040 -0.124 -1.047 -0.475 5.351 -2.469 -0.294 0.028 7.196" Properties=species:S:1:pos:R:3 pbc="T T T"
As 1.782 2.613 -1.758
As 2.763 4.355 1.829
As 0.507 0.900 1.852
Dy 3.013 1.702 3.109
Dy 0.257 3.552 0.571
Th 2.020 -0.062 -0.523
```

Output
Energy relative to the elements   -9.0 eV per formula unit
Symmetry   No. 71